PBE with a Hubbard U Pa2WO8F, relaxed; symmetry = P-1 (2); calculated density = 8.968 Mg/m³; raw total energy = -8.338 eV/atom
1.0
4.461 0.000 0.000
-0.135 5.081 0.000
-2.193 -1.608 6.477
Pa W O F
2 1 8 1
Cartesian
-0.012 0.083 1.974
2.145 3.390 4.503
2.163 2.541 0.000
-1.048 1.666 4.995
1.033 0.898 0.016
-0.201 3.946 3.789
0.915 3.394 1.169
1.219 0.079 5.308
2.335 -0.473 2.688
1.100 2.575 6.461
3.182 1.807 1.482
1.067 1.737 3.238